Material: RbSe2BrO
Method: DFT, PBE
State: relaxed

Cell and atoms, written as POSCAR:
```
RbSe2BrO
1.0
-1.8496 1.7384 -3.5469
-3.2918 -2.8430 0.3232
-3.9164 5.0481 4.5164
Br Se Rb O
1 2 1 1
direct
0.0000 0.0000 0.5000 Br
0.0000 0.5000 0.0000 Se
0.5000 0.0000 0.0000 Se
0.5000 0.5000 0.5000 Rb
0.0000 0.0000 0.0000 O
```

Output
**Uncorrected energy**: -15.69 eV for the cell shown
**Formation energy (no corrections)**: -21.7 kJ per mole of atoms
**Space-group type**: P4/mmm (123)